No. 1
Y2ErZn | PBE-GGA | optimized geometry

Structure (extended XYZ):
```
4
Lattice="1.809 1.044 10.149 -1.809 1.044 10.149 0.000 -2.089 10.149" Properties=species:S:1:pos:R:3 pbc="T T T"
Y 0.000 0.000 0.000
Y 0.000 0.000 5.740
Er 0.000 0.000 13.025
Zn 0.000 0.000 18.079
```

Its density of states at the Fermi level is 5.02 states/eV/f.u. For the relative energy among the computed polymorphs, the calculation gives 93 meV/atom. The calculation puts the total magnetic moment at 0.824 μB per cell. The calculation puts the formation enthalpy at 0 K at -0.07 eV/atom. For the density, the calculation gives 5.92 g/cm³.



No. 2
Be2ZnRh | PBE-GGA | optimized geometry

Structure (extended XYZ):
```
4
Lattice="2.752 0.000 0.000 0.000 3.641 0.000 -1.369 0.000 4.404" Properties=species:S:1:pos:R:3 pbc="T T T"
Be 0.000 0.000 0.000
Be 0.002 1.821 1.226
Zn 0.006 1.821 3.547
Rh 1.380 0.000 1.958
```

Its density of states at the Fermi level is 0.98 states/eV/f.u. The calculation puts the total magnetic moment at 0.000 μB per cell. The calculation puts the formation enthalpy at 0 K at -0.29 eV/atom. For the density, the calculation gives 7.01 g/cm³.



No. 3
Tb4Hg5Au2 | PBE-GGA | optimized geometry

Structure (extended XYZ):
```
11
Lattice="7.766 0.000 0.000 0.000 3.582 0.000 -0.908 0.000 9.848" Properties=species:S:1:pos:R:3 pbc="T T T"
Tb 1.060 0.000 3.637
Tb 1.018 0.000 9.215
Tb 5.840 0.000 0.634
Tb 5.798 0.000 6.211
Hg 0.734 1.791 6.354
Hg 3.404 1.791 1.781
Hg 3.429 1.791 4.924
Hg 3.455 1.791 8.067
Hg 6.124 1.791 3.494
Au 0.451 1.791 1.350
Au 6.407 1.791 8.498
```

Its density of states at the Fermi level is 7.16 states/eV/f.u. The calculation puts the total magnetic moment at 0.000 μB per cell. The calculation puts the formation enthalpy at 0 K at -0.53 eV/atom. For the density, the calculation gives 12.32 g/cm³.



No. 4
As3P | PBE-GGA | optimized geometry

Structure (extended XYZ):
```
16
Lattice="6.353 0.000 0.000 0.000 6.491 0.000 0.000 0.000 8.380" Properties=species:S:1:pos:R:3 pbc="T T T"
As 0.494 1.623 1.014
As 1.527 3.290 2.667
As 1.527 6.447 2.667
As 1.649 0.044 6.857
As 1.649 3.201 6.857
As 2.682 4.868 5.204
As 3.671 1.623 3.176
As 4.704 3.290 1.522
As 4.704 6.447 1.522
As 4.826 0.044 5.712
As 4.826 3.201 5.712
As 5.859 4.868 7.366
P 0.578 1.623 5.367
P 2.598 4.868 1.178
P 3.755 1.623 7.202
P 5.775 4.868 3.012
```

Its density of states at the Fermi level is 1.41 states/eV/f.u. For the relative energy among the computed polymorphs, the calculation gives 200 meV/atom. The calculation puts the total magnetic moment at 0.000 μB per cell. The calculation puts the formation enthalpy at 0 K at 0.26 eV/atom. For the density, the calculation gives 4.92 g/cm³.



No. 5
BaSeO4F | PBE-GGA | optimized geometry

Structure (extended XYZ):
```
14
Lattice="5.086 -4.149 0.000 5.086 4.149 0.000 -1.336 0.000 7.351" Properties=species:S:1:pos:R:3 pbc="T T T"
Ba 1.799 0.000 1.072
Ba 7.038 0.000 6.279
Se 2.639 0.000 5.422
Se 6.198 0.000 1.929
O 2.063 1.350 6.232
O 2.226 0.000 3.817
O 2.063 -1.350 6.232
O 4.527 0.000 1.794
O 4.310 0.000 5.557
O 6.774 1.350 1.120
O 6.612 0.000 3.534
O 6.774 -1.350 1.120
F -0.617 0.000 6.106
F 9.454 0.000 1.245
```

The calculation puts the formation energy (no corrections) at -1.458 eV/atom. Its density of states at the Fermi level is 6.67 states/eV/f.u. The calculation puts the total magnetic moment at 2.061 μB per cell. For the density, the calculation gives 3.20 g/cm³.



No. 6
Te4W | PBE-GGA | optimized geometry

Structure (extended XYZ):
```
5
Lattice="5.291 0.000 0.000 0.000 5.291 0.000 0.000 0.000 5.291" Properties=species:S:1:pos:R:3 pbc="T T T"
Te 0.000 0.000 0.000
Te 0.000 2.646 2.646
Te 2.646 0.000 2.646
Te 2.646 2.646 0.000
W 2.646 2.646 2.646
```

The calculation puts the formation energy (no corrections) at 0.548 eV/atom. Its density of states at the Fermi level is 5.67 states/eV/f.u. For the relative energy among the computed polymorphs, the calculation gives 0 meV/atom. The calculation puts the total magnetic moment at 0.000 μB per cell. For the density, the calculation gives 7.78 g/cm³.